A PBEsol-optimized structure of Ba3RuBr. Source: Alexandria via LeMat-Bulk, functional SCAN.

* magnetization: 0.15 μB/f.u.
* energy relative to the elements, uncorrected: 0.20 eV per atom
* space-group type: Pm-3m, No. 221

Lattice parameters (Å, degrees): 5.9915 5.9915 5.9915 90.00 90.00 90.00
Fractional coordinates of all 5 atoms:
1 Ba 0.0000 0.0000 0.5000
2 Ba 0.0000 0.5000 0.0000
3 Ba 0.5000 0.0000 0.0000
4 Ru 0.5000 0.5000 0.5000
5 Br 0.0000 0.0000 0.0000